VASP calculation (GGA-PBE) on a geometry-optimized Sr2NiPb structure.

Cell lengths 5.317, 5.317, 5.317 Å; angles 119.93, 119.93, 90.12 degrees
Atoms (fractional coordinates):
Sr: 0.000 0.000 0.000
Sr: 0.750 0.250 0.500
Ni: 0.250 0.750 0.500
Pb: 0.500 0.500 0.000

## Properties
The value obtained for the density of states at the Fermi level is 0.097 states/eV/atom. The formation energy is 0.074 eV/f.u. Its symmetry is No. 119.

---

VASP calculation (GGA-PBE) on a geometry-optimized CaHo3Se4 structure.

Cell lengths 7.075, 7.075, 7.075 Å; angles 131.95, 131.95, 70.31 degrees
Atoms (fractional coordinates):
Ca: 0.000 0.000 0.000
Ho: 0.250 0.750 0.500
Ho: 0.500 0.500 0.000
Ho: 0.750 0.250 0.500
Se: 0.000 0.500 0.500
Se: 0.249 0.249 0.000
Se: 0.500 0.000 0.500
Se: 0.751 0.751 0.000

## Properties
The value obtained for the energy relative to the elements, uncorrected is -14.325 eV/f.u. The value obtained for the density of states at the Fermi level is 0.172 states/eV/atom. Its symmetry is No. 139.

---

VASP calculation (GGA-PBE) on a geometry-optimized ZnHgIO2 structure.

Cell lengths 4.007, 4.007, 6.364 Å; angles 90.00, 90.00, 90.00 degrees
Atoms (fractional coordinates):
Zn: 0.000 0.000 0.000
Hg: 0.500 0.500 0.500
I: 0.000 0.000 0.500
O: 0.000 0.500 0.000
O: 0.500 0.000 0.000

## Properties
The value obtained for the energy relative to the elements, uncorrected is 0.310 eV/f.u. The value obtained for the density of states at the Fermi level is 1.226 states/eV/atom. Its symmetry is No. 123.

---

VASP calculation (GGA-PBE) on a geometry-optimized ScRuCl structure.

Cell lengths 4.259, 4.259, 4.259 Å; angles 60.00, 60.00, 60.00 degrees
Atoms (fractional coordinates):
Sc: 0.000 0.000 0.000
Ru: 0.250 0.250 0.250
Cl: 0.500 0.500 0.500

## Properties
The value obtained for the energy relative to the elements, uncorrected is -0.038 eV/f.u. The value obtained for the density of states at the Fermi level is 0.398 states/eV/atom. Its symmetry is No. 216.

---

VASP calculation (GGA-PBE) on a geometry-optimized Cd2TeRu structure.

Cell lengths 5.257, 5.257, 5.257 Å; angles 131.04, 131.04, 71.75 degrees
Atoms (fractional coordinates):
Cd: 0.000 0.000 0.000
Cd: 0.750 0.250 0.500
Te: 0.500 0.500 0.000
Ru: 0.250 0.750 0.500

## Properties
The value obtained for the energy relative to the elements, uncorrected is 1.408 eV/f.u. The value obtained for the density of states at the Fermi level is 0.501 states/eV/atom. Its symmetry is No. 119.

---

VASP calculation (GGA-PBE) on a geometry-optimized Dy4PS3 structure.

Cell lengths 6.815, 6.815, 3.929 Å; angles 90.00, 90.00, 109.29 degrees
Atoms (fractional coordinates):
Dy: 0.243 0.243 0.500
Dy: 0.246 0.754 0.000
Dy: 0.754 0.246 0.000
Dy: 0.757 0.757 0.500
P: 0.000 0.000 0.000
S: 0.000 0.500 0.500
S: 0.500 0.000 0.500
S: 0.500 0.500 0.000

## Properties
The value obtained for the energy relative to the elements, uncorrected is -15.562 eV/f.u. The value obtained for the density of states at the Fermi level is 0.251 states/eV/atom. Its symmetry is No. 65.

---

VASP calculation (GGA-PBE) on a geometry-optimized Ho2Sc3In2 structure.

Cell lengths 5.241, 3.143, 10.837 Å; angles 90.00, 103.98, 90.00 degrees
Atoms (fractional coordinates):
Ho: 0.076 0.000 0.153
Ho: 0.924 0.000 0.847
Sc: 0.218 0.000 0.437
Sc: 0.500 0.000 0.000
Sc: 0.782 0.000 0.563
In: 0.352 0.500 0.703
In: 0.648 0.500 0.297

## Properties
The value obtained for the density of states at the Fermi level is 1.295 states/eV/atom. The formation energy is -0.160 eV/f.u. Its symmetry is No. 10.

---

VASP calculation (GGA-PBE) on a geometry-optimized Ho4In2H structure.

Cell lengths 5.994, 6.708, 8.972 Å; angles 90.00, 104.63, 90.00 degrees
Atoms (fractional coordinates):
Ho: 0.180 0.250 0.067
Ho: 0.267 0.750 0.375
Ho: 0.273 0.501 0.732
Ho: 0.273 0.999 0.732
Ho: 0.727 0.001 0.268
Ho: 0.727 0.499 0.268
Ho: 0.733 0.250 0.625
Ho: 0.820 0.750 0.933
In: 0.214 0.250 0.419
In: 0.346 0.750 0.043
In: 0.654 0.250 0.957
In: 0.786 0.750 0.581
H: 0.078 0.250 0.800
H: 0.922 0.750 0.200

## Properties
The value obtained for the density of states at the Fermi level is 0.619 states/eV/atom. As for the energy: -4.2781 eV/atom. Its symmetry is No. 11.

---

VASP calculation (GGA-PBE) on a geometry-optimized HoZrBeZn structure.

Cell lengths 4.758, 4.758, 4.758 Å; angles 60.00, 60.00, 60.00 degrees
Atoms (fractional coordinates):
Ho: 0.000 0.000 0.000
Zr: 0.500 0.500 0.500
Be: 0.250 0.250 0.250
Zn: 0.750 0.750 0.750

## Properties
The value obtained for the density of states at the Fermi level is 1.155 states/eV/atom. The formation energy is -0.277 eV/f.u. Its symmetry is No. 216.

---

VASP calculation (GGA-PBE) on a geometry-optimized Pr3CdIn structure.

Cell lengths 10.571, 10.571, 5.509 Å; angles 90.00, 90.00, 149.80 degrees
Atoms (fractional coordinates):
Pr: 0.057 0.943 0.750
Pr: 0.248 0.752 0.750
Pr: 0.436 0.564 0.750
Pr: 0.564 0.436 0.250
Pr: 0.752 0.248 0.250
Pr: 0.943 0.057 0.250
Cd: 0.347 0.653 0.250
Cd: 0.653 0.347 0.750
In: 0.154 0.846 0.250
In: 0.846 0.154 0.750

## Properties
The value obtained for the density of states at the Fermi level is 1.297 states/eV/atom. The formation energy is -1.525 eV/f.u. Its symmetry is No. 63.

---

VASP calculation (GGA-PBE) on a geometry-optimized Sr5Ge2H2 structure.

Cell lengths 11.458, 11.458, 11.458 Å; angles 52.57, 142.65, 144.37 degrees
Atoms (fractional coordinates):
Sr: 0.055 0.913 0.642
Sr: 0.247 0.014 0.261
Sr: 0.247 0.486 0.733
Sr: 0.271 0.413 0.358
Sr: 0.652 0.079 0.284
Sr: 0.652 0.869 0.073
Sr: 0.753 0.514 0.267
Sr: 0.753 0.986 0.739
Sr: 0.796 0.369 0.716
Sr: 0.796 0.579 0.927
Ge: 0.246 0.367 0.094
Ge: 0.246 0.652 0.379
Ge: 0.273 0.152 0.906
Ge: 0.273 0.867 0.621
H: 0.725 0.555 0.670
H: 0.747 0.247 0.500
H: 0.747 0.747 0.000
H: 0.885 0.055 0.330

## Properties
The value obtained for the density of states at the Fermi level is 0.312 states/eV/atom. As for the energy: -3.1727 eV/atom. Its symmetry is No. 46.

---

Number 1: total moment 0.0 μB per formula unit. Number 2: total moment 0.0 μB per formula unit. Number 3: total moment 0.0 μB per formula unit. Number 4: total moment 0.0 μB per formula unit. Number 5: total moment 0.0 μB per formula unit. Number 6: total moment 0.0 μB per formula unit. Number 7: total moment 1.5 μB per formula unit. Number 8: total moment 0.0 μB per formula unit. Number 9: total moment 0.0 μB per formula unit. Number 10: total moment 0.0 μB per formula unit. Number 11: total moment 0.0 μB per formula unit.